This record from Alexandria describes a relaxed Y3HS crystal. The functional is GGA-PBE.

abc: 4.6803 4.6803 4.6803
angles: 90.00 90.00 90.00
Space group Pm-3m (No. 221)
One atom of each set of equivalent atoms:
Y: 0.0000 0.0000 0.5000 x3
H: 0.0000 0.0000 0.0000 x1
S: 0.5000 0.5000 0.5000 x1

Computed properties:
- electronic total energy (eV/atom) = -5.713
- Fermi-level density of states (states/eV per cell) = 4.163
- E above lowest polymorph (eV per atom) = 0.0000
- calculated density (g cm⁻³) = 4.86